1.
First-principles (GGA-PBE) data for a relaxed TaMn2Ge crystal, as listed in the Alexandria database.

Cell: 3.1057 4.1374 4.1374 Å, 90.00 90.00 90.00°
Last column: magnetic moment on the atom in μB.
Sites, in units of the cell vectors:
1 Ta 0.5000 0.0000 0.0000  -0.15
2 Mn 0.0000 0.5000 0.0000  0.59
3 Mn 0.0000 0.0000 0.5000  0.59
4 Ge 0.5000 0.5000 0.5000  -0.04

- volume (Å³ per atom) = 13.29
- energy of formation (eV per atom) = -0.16
- space group = P4/mmm
- energy (eV/atom) = -8.867



2.
First-principles (GGA-PBE) data for a relaxed AgPdAu4 crystal, as listed in the Alexandria database.

Cell: 4.5470 4.5469 8.8860 Å, 49.35 49.35 64.82°
Sites, in units of the cell vectors:
1 Pd 0.0000 0.0000 0.0000
2 Ag 0.5000 0.5000 0.5000
3 Au 0.4999 0.4999 0.8332
4 Au 0.0035 0.0035 0.3291
5 Au 0.9965 0.9965 0.6709
6 Au 0.5001 0.5001 0.1668

- volume (Å³ per atom) = 17.63
- energy of formation (eV per atom) = -0.04
- space group = C2/m
- energy (eV/atom) = -3.564
- offset from the most stable computed form (meV/atom) = 10.5



3.
First-principles (GGA-PBE) data for a relaxed Pr2Sm8Cd crystal, as listed in the Alexandria database.

Cell: 5.0983 8.0501 9.5197 Å, 104.91 105.53 90.00°
Sites, in units of the cell vectors:
1 Pr 0.7760 0.3635 0.5519
2 Sm 0.9553 0.2767 0.9106
3 Sm 0.4118 0.5566 0.8236
4 Sm 0.0447 0.7233 0.0894
5 Sm 0.6795 0.9092 0.3590
6 Sm 0.1343 0.1757 0.2686
7 Cd 0.5000 0.0000 0.0000
8 Pr 0.2240 0.6365 0.4481
9 Sm 0.8657 0.8243 0.7314
10 Sm 0.3205 0.0908 0.6410
11 Sm 0.5882 0.4434 0.1764

- volume (Å³ per atom) = 32.98
- energy of formation (eV per atom) = -0.01
- space group = C2/m
- energy (eV/atom) = -4.397
- offset from the most stable computed form (meV/atom) = 3.9



4.
First-principles (GGA-PBE) data for a relaxed BeSb2 crystal, as listed in the Alexandria database.

Cell: 3.8353 3.8353 5.1800 Å, 90.00 90.00 120.00°
Sites, in units of the cell vectors:
1 Be 0.0000 0.0000 0.0000
2 Sb 0.3333 0.6667 0.2560
3 Sb 0.6667 0.3333 0.7440

- volume (Å³ per atom) = 22.00
- space group = P-3m1
- energy (eV/atom) = -3.737
- offset from the most stable computed form (meV/atom) = 20.7



5.
First-principles (GGA-PBE) data for a relaxed LuZnAgPd crystal, as listed in the Alexandria database.

Cell: 4.6922 4.6922 4.6922 Å, 60.00 60.00 60.00°
Sites, in units of the cell vectors:
1 Lu 0.0000 0.0000 0.0000
2 Pd 0.7500 0.7500 0.7500
3 Zn 0.5000 0.5000 0.5000
4 Ag 0.2500 0.2500 0.2500

- volume (Å³ per atom) = 18.26
- energy of formation (eV per atom) = -0.49
- space group = F-43m
- energy (eV/atom) = -3.948



6.
First-principles (GGA-PBE) data for a relaxed Sm4ZnIn2 crystal, as listed in the Alexandria database.

Cell: 5.3054 5.3054 9.1282 Å, 73.11 73.11 60.00°
Sites, in units of the cell vectors:
1 Sm 0.6235 0.6235 0.1295
2 Sm 0.8745 0.8745 0.3765
3 Sm 0.1255 0.1255 0.6235
4 In 0.7493 0.7493 0.7522
5 In 0.2507 0.2507 0.2478
6 Zn 0.0000 0.0000 0.0000
7 Sm 0.3765 0.3765 0.8705

- volume (Å³ per atom) = 29.94
- energy of formation (eV per atom) = -0.28
- space group = R-3m
- energy (eV/atom) = -3.942



7.
First-principles (GGA-PBE) data for a relaxed Rb3Tl8Cd3 crystal, as listed in the Alexandria database.

Cell: 5.2725 10.0328 10.0328 Å, 72.79 74.77 74.77°
Sites, in units of the cell vectors:
1 Rb 0.5000 0.5000 0.5000
2 Cd 0.5000 0.0000 0.0000
3 Tl 0.1687 0.4790 0.1837
4 Tl 0.3770 0.9102 0.3359
5 Tl 0.6230 0.6641 0.0898
6 Rb 0.7982 0.2018 0.2018
7 Tl 0.8313 0.8163 0.5210
8 Tl 0.6230 0.0898 0.6641
9 Cd 0.0000 0.1775 0.8225
10 Tl 0.8313 0.5210 0.8163
11 Rb 0.2018 0.7982 0.7982
12 Cd 0.0000 0.8225 0.1775
13 Tl 0.1687 0.1837 0.4790
14 Tl 0.3770 0.3359 0.9102

- volume (Å³ per atom) = 34.23
- energy of formation (eV per atom) = -0.04
- space group = Immm
- energy (eV/atom) = -1.795



8.
First-principles (GGA-PBE) data for a relaxed AgSb2Se crystal, as listed in the Alexandria database.

Cell: 4.6106 4.6106 7.5946 Å, 62.54 62.54 52.10°
Sites, in units of the cell vectors:
1 Sb 0.0412 0.0412 0.0536
2 Se 0.7500 0.7500 0.7500
3 Ag 0.2500 0.2500 0.2500
4 Sb 0.4588 0.4588 0.4464

- volume (Å³ per atom) = 27.33
- space group = C2/m
- energy (eV/atom) = -3.576